Record 1
PtCl2: relaxed, PBE.

The total magnetization is 0.6393 μB/atom. For the density of states at the Fermi level, the calculation gives 6.244 states/eV/cell. For the formation energy without anion corrections, the calculation gives 482 meV/atom. As for the crystal system: tetragonal.

It has space group I4/mmm (No. 139), with a = 3.225 Å, b = 3.225 Å, c = 13.246 Å, α = 90.00°, β = 90.00° and γ = 90.00°. The asymmetric unit holds Pt at (0.000, 0.000, 0.000) and Cl at (0.000, 0.000, 0.383).

=====

Record 2
PtCl: relaxed, PBE.

The total magnetization is 0.0012 μB/atom. For the density of states at the Fermi level, the calculation gives 14.673 states/eV/cell. For the formation energy without anion corrections, the calculation gives 884 meV/atom. As for the crystal system: hexagonal.

It has space group P6_3/mmc (No. 194), with a = 4.9284 Å, b = 4.9284 Å, c = 7.3056 Å, α = 90.00°, β = 90.00° and γ = 120.00°. The asymmetric unit holds Pt at (0.3333, 0.6667, 0.0689), Cl at (0.0000, 0.0000, 0.2500) and Cl at (0.3333, 0.6667, 0.7500).

=====

Record 3
Pt5Cl3: relaxed, PBE.

The total magnetization is 0.0000 μB/atom. For the density of states at the Fermi level, the calculation gives 18.025 states/eV/cell. For the formation energy without anion corrections, the calculation gives 893 meV/atom. For the polymorph energy (0 for the lowest one), the calculation gives 379.5 meV/atom. As for the crystal system: hexagonal.

It has space group P6_3/mcm (No. 193), with a = 7.7221 Å, b = 7.7221 Å, c = 5.4936 Å, α = 90.00°, β = 90.00° and γ = 120.00°. The asymmetric unit holds Pt at (0.0000, 0.2133, 0.2500), Pt at (0.3333, 0.6667, 0.0000) and Cl at (0.0000, 0.3593, 0.7500).

=====

Record 4
PtCl2: relaxed, PBE.

The total magnetization is 0.6490 μB/atom. For the density of states at the Fermi level, the calculation gives 11.965 states/eV/cell. For the formation energy without anion corrections, the calculation gives 483 meV/atom. As for the crystal system: tetragonal.

It has space group I4_1/amd (No. 141, origin choice 2), with a = 3.226 Å, b = 3.226 Å, c = 27.148 Å, α = 90.00°, β = 90.00° and γ = 90.00°. The asymmetric unit holds Pt at (0.000, 0.250, 0.375) and Cl at (0.000, 0.250, 0.818).

=====

Record 5
Pt2Cl: relaxed, PBE.

The total magnetization is 0.0000 μB/atom. For the density of states at the Fermi level, the calculation gives 13.643 states/eV/cell. For the formation energy without anion corrections, the calculation gives 591 meV/atom. For the polymorph energy (0 for the lowest one), the calculation gives 417.6 meV/atom. As for the crystal system: tetragonal.

It has space group I4/mcm (No. 140), with a = 5.132 Å, b = 5.132 Å, c = 8.765 Å, α = 90.00°, β = 90.00° and γ = 90.00°. The asymmetric unit holds Pt at (0.185, 0.315, 0.000) and Cl at (0.000, 0.000, 0.250).

=====

Record 6
Pt4Cl: relaxed, PBE.

The total magnetization is 0.0001 μB/atom. For the density of states at the Fermi level, the calculation gives 7.742 states/eV/cell. For the formation energy without anion corrections, the calculation gives 1104 meV/atom. For the polymorph energy (0 for the lowest one), the calculation gives 753.6 meV/atom. As for the crystal system: cubic.

It has space group Pm-3m (No. 221), with a = 4.483 Å, b = 4.483 Å, c = 4.483 Å, α = 90.00°, β = 90.00° and γ = 90.00°. The asymmetric unit holds Pt at (0.000, 0.000, 0.000), Pt at (0.000, 0.500, 0.500) and Cl at (0.500, 0.500, 0.500).

=====

Record 7
PtCl: relaxed, PBE.

The total magnetization is 0.0000 μB/atom. For the density of states at the Fermi level, the calculation gives 14.454 states/eV/cell. For the formation energy without anion corrections, the calculation gives 735 meV/atom. As for the crystal system: cubic.

It has space group Pm-3n (No. 223), with a = 6.962 Å, b = 6.962 Å, c = 6.962 Å, α = 90.00°, β = 90.00° and γ = 90.00°. The asymmetric unit holds Pt at (0.000, 0.250, 0.500) and Cl at (0.000, 0.500, 0.250).

=====

Record 8
PtCl: relaxed, PBE.

The total magnetization is 0.1043 μB/atom. For the density of states at the Fermi level, the calculation gives 13.396 states/eV/cell. For the formation energy without anion corrections, the calculation gives 268 meV/atom. As for the crystal system: tetragonal.

It has space group P4/m (No. 83), with a = 11.807 Å, b = 11.807 Å, c = 2.889 Å, α = 90.00°, β = 90.00° and γ = 90.00°. The asymmetric unit holds Pt at (0.009, 0.153, 0.000), Pt at (0.115, 0.516, 0.500), Cl at (0.118, 0.694, 0.000) and Cl at (0.162, 0.333, 0.500).

=====

Record 9
Pt5Cl: relaxed, PBE.

The total magnetization is 0.0000 μB/atom. For the density of states at the Fermi level, the calculation gives 10.168 states/eV/cell. For the formation energy without anion corrections, the calculation gives 268 meV/atom. As for the crystal system: tetragonal.

It has space group P4/mmm (No. 123), with a = 2.921 Å, b = 2.921 Å, c = 11.485 Å, α = 90.00°, β = 90.00° and γ = 90.00°. The asymmetric unit holds Pt at (0.000, 0.000, 0.000), Pt at (0.000, 0.000, 0.320), Pt at (0.500, 0.500, 0.159) and Cl at (0.500, 0.500, 0.500).

=====

Record 10
Pt4Cl: relaxed, PBE.

The total magnetization is 0.0009 μB/atom. For the density of states at the Fermi level, the calculation gives 20.716 states/eV/cell. For the formation energy without anion corrections, the calculation gives 541 meV/atom. For the polymorph energy (0 for the lowest one), the calculation gives 190.4 meV/atom. As for the crystal system: tetragonal.

It has space group I4/mmm (No. 139), with a = 3.829 Å, b = 3.829 Å, c = 12.654 Å, α = 90.00°, β = 90.00° and γ = 90.00°. The asymmetric unit holds Pt at (0.000, 0.000, 0.101), Pt at (0.000, 0.500, 0.250) and Cl at (0.000, 0.000, 0.500).

=====

Record 11
PtCl: relaxed, PBE.

The total magnetization is 0.0000 μB/atom. For the density of states at the Fermi level, the calculation gives 6.122 states/eV/cell. For the formation energy without anion corrections, the calculation gives 607 meV/atom. As for the crystal system: trigonal.

It has space group R-3m (No. 166, hexagonal axes), with a = 3.2038 Å, b = 3.2038 Å, c = 11.6011 Å, α = 90.00°, β = 90.00° and γ = 120.00°. The asymmetric unit holds Pt at (0.0000, 0.0000, 0.0000) and Cl at (0.0000, 0.0000, 0.5000).

=====

Record 12
PtCl: relaxed, PBE.

The total magnetization is 0.0009 μB/atom. For the density of states at the Fermi level, the calculation gives 15.130 states/eV/cell. For the formation energy without anion corrections, the calculation gives 379 meV/atom. As for the crystal system: trigonal.

It has space group P-3m1 (No. 164), with a = 4.7945 Å, b = 4.7945 Å, c = 11.4581 Å, α = 90.00°, β = 90.00° and γ = 120.00°. The asymmetric unit holds Pt at (0.0000, 0.0000, 0.1110), Pt at (0.3333, 0.6667, 0.1262), Pt at (0.3333, 0.6667, 0.3521), Cl at (0.0000, 0.0000, 0.3186), Cl at (0.3333, 0.6667, 0.5607) and Cl at (0.3333, 0.6667, 0.8986).

=====

Record 13
PtCl: relaxed, PBE.

The total magnetization is 0.0000 μB/atom. For the formation energy without anion corrections, the calculation gives -282 meV/atom. As for the crystal system: trigonal.

It has space group R-3m (No. 166, hexagonal axes), with a = 3.6393 Å, b = 3.6393 Å, c = 22.9094 Å, α = 90.00°, β = 90.00° and γ = 120.00°. The asymmetric unit holds Pt at (0.0000, 0.0000, 0.1341) and Cl at (0.0000, 0.0000, 0.4089).

=====

Record 14
PtCl2: relaxed, PBE.

The total magnetization is 0.0000 μB/atom. For the formation energy without anion corrections, the calculation gives -329 meV/atom. As for the crystal system: orthorhombic.

It has space group Fmmm (No. 69), with a = 3.449 Å, b = 8.215 Å, c = 13.202 Å, α = 90.00°, β = 90.00° and γ = 90.00°. The asymmetric unit holds Pt at (0.000, 0.000, 0.000) and Cl at (0.000, 0.000, 0.382).

=====

Record 15
Pt3Cl: relaxed, PBE.

The total magnetization is 0.0000 μB/atom. For the density of states at the Fermi level, the calculation gives 9.026 states/eV/cell. For the formation energy without anion corrections, the calculation gives 525 meV/atom. For the polymorph energy (0 for the lowest one), the calculation gives 309.7 meV/atom. As for the crystal system: orthorhombic.

It has space group Cmmm (No. 65), with a = 6.872 Å, b = 6.915 Å, c = 2.768 Å, α = 90.00°, β = 90.00° and γ = 90.00°. The asymmetric unit holds Pt at (0.000, 0.000, 0.000), Pt at (0.250, 0.250, 0.500) and Cl at (0.000, 0.500, 0.000).

=====

Record 16
PtCl2: relaxed, PBE.

The total magnetization is 0.0300 μB/atom. For the density of states at the Fermi level, the calculation gives 33.722 states/eV/cell. For the formation energy without anion corrections, the calculation gives -96 meV/atom. As for the crystal system: monoclinic.

It has space group C2/m (No. 12), with a = 11.283 Å, b = 16.380 Å, c = 6.813 Å, α = 90.00°, β = 102.78° and γ = 90.00°. The asymmetric unit holds Pt at (0.014, 0.079, 0.317), Pt at (0.047, 0.500, 0.857), Cl at (0.000, 0.146, 0.000), Cl at (0.060, 0.368, 0.817), Cl at (0.161, 0.000, 0.804) and Cl at (0.186, 0.150, 0.445).

=====

Record 17
PtCl2: relaxed, PBE.

The total magnetization is 0.0000 μB/atom. For the formation energy without anion corrections, the calculation gives -333 meV/atom. As for the crystal system: monoclinic.

It has space group C2/m (No. 12), with a = 12.970 Å, b = 3.449 Å, c = 8.897 Å, α = 90.00°, β = 116.81° and γ = 90.00°. The asymmetric unit holds Pt at (0.128, 0.000, 0.243), Cl at (0.032, 0.500, 0.303) and Cl at (0.225, 0.500, 0.185).

=====

Record 18
Pt3Cl: relaxed, PBE.

The total magnetization is 0.0000 μB/atom. For the density of states at the Fermi level, the calculation gives 6.904 states/eV/cell. For the formation energy without anion corrections, the calculation gives 296 meV/atom. For the polymorph energy (0 for the lowest one), the calculation gives 81.0 meV/atom. As for the crystal system: trigonal.

It has space group R-3m (No. 166, hexagonal axes), with a = 3.0922 Å, b = 3.0922 Å, c = 24.3852 Å, α = 90.00°, β = 90.00° and γ = 120.00°. The asymmetric unit holds Pt at (0.0000, 0.0000, 0.0000), Pt at (0.0000, 0.0000, 0.2528) and Cl at (0.0000, 0.0000, 0.5000).

=====

Record 19
Pt2Cl: relaxed, PBE.

The total magnetization is 0.0000 μB/atom. For the density of states at the Fermi level, the calculation gives 7.030 states/eV/cell. For the formation energy without anion corrections, the calculation gives 245 meV/atom. For the polymorph energy (0 for the lowest one), the calculation gives 71.3 meV/atom. As for the crystal system: hexagonal.

It has space group P6_3/mmc (No. 194), with a = 5.9814 Å, b = 5.9814 Å, c = 8.3370 Å, α = 90.00°, β = 90.00° and γ = 120.00°. The asymmetric unit holds Pt at (0.0000, 0.0000, 0.0000), Pt at (0.1510, 0.3020, 0.2500) and Cl at (0.3333, 0.6667, 0.0586).

=====

Record 20
Pt2Cl: relaxed, PBE.

The total magnetization is 0.0000 μB/atom. For the density of states at the Fermi level, the calculation gives 5.111 states/eV/cell. For the formation energy without anion corrections, the calculation gives 359 meV/atom. For the polymorph energy (0 for the lowest one), the calculation gives 185.5 meV/atom. As for the crystal system: orthorhombic.

It has space group Immm (No. 71), with a = 2.771 Å, b = 4.529 Å, c = 10.402 Å, α = 90.00°, β = 90.00° and γ = 90.00°. The asymmetric unit holds Pt at (0.000, 0.000, 0.231) and Cl at (0.000, 0.000, 0.000).